The following is a DFT calculation (PBE+U) of a relaxed HfMo2O8 crystal.

Summary:
- size of the total moment (μB/f.u.) = 0.00
- electronic total energy (Ry/atom) = -0.5718
- mass density (g/cm3) = 4.33

Geometry as POSCAR:
```
HfMo2O8
1.0
6.5015 0.0005 2.8696
3.1091 6.2438 1.7567
-0.2094 -0.6538 9.2751
O Hf Mo
16 2 4
Direct
0.0189 0.6961 0.0212 O
0.9811 0.3039 0.9788 O
0.3718 0.6997 0.5313 O
0.3971 0.1997 0.0313 O
0.2361 0.5637 0.3360 O
0.2639 0.1961 0.5212 O
0.7639 0.4363 0.6640 O
0.3216 0.0006 0.7994 O
0.6029 0.8003 0.9687 O
0.6784 0.9994 0.2006 O
0.1359 0.9362 0.1641 O
0.6282 0.3003 0.4687 O
0.7361 0.8039 0.4788 O
0.8784 0.5007 0.2994 O
0.1216 0.4993 0.7006 O
0.8641 0.0638 0.8359 O
0.9695 0.7500 0.2500 Hf
0.0305 0.2500 0.7500 Hf
0.3264 0.4200 0.5000 Mo
0.7537 0.9200 0.9999 Mo
0.2463 0.0800 0.0001 Mo
0.6736 0.5800 0.5000 Mo
```